1.
Entry from Alexandria via LeMat-Bulk: a relaxed structure of Pu4AgPd2Au (PBE).

Cell: 5.0821 5.0821 8.7769 Å, 73.17 73.17 60.00°
Each line ends with the local moment (μB).
Fractional coordinates of all 8 atoms:
Pu 0.3774 0.3774 0.8677  5.39
Pu 0.8727 0.8727 0.3820  5.46
Pu 0.1273 0.1273 0.6180  5.46
Pu 0.6226 0.6226 0.1323  5.39
Ag 0.0000 0.0000 0.0000  0.05
Pd 0.7453 0.7453 0.7640  -0.02
Pd 0.2547 0.2547 0.2360  -0.02
Au 0.5000 0.5000 0.5000  0.05

* formation enthalpy at 0 K: -246 meV per atom
* uncorrected energy: -75.81 eV/cell
* theoretical density: 13406 kg/m³
* density of states at the Fermi level: 4.759 states/eV per atom
* space-group type: No. 166


2.
Entry from Alexandria via LeMat-Bulk: a relaxed structure of CdGeMo2Ir (PBE).

Cell: 4.6407 4.5834 4.6407 Å, 90.00 90.00 90.00°
Fractional coordinates of all 5 atoms:
Mo 0.0000 0.0000 0.5000
Mo 0.5000 0.0000 0.0000
Ir 0.0000 0.5000 0.0000
Ge 0.0000 0.0000 0.0000
Cd 0.5000 0.5000 0.5000

* formation enthalpy at 0 K: 1128 meV per atom
* uncorrected energy: -30.42 eV/cell
* theoretical density: 9575 kg/m³
* density of states at the Fermi level: 1.240 states/eV per atom
* space-group type: No. 123


3.
Entry from Alexandria via LeMat-Bulk: a relaxed structure of Y8AlCo2 (PBE).

Cell: 5.2734 7.8732 7.8732 Å, 112.97 97.36 97.36°
Fractional coordinates of all 11 atoms:
Y 0.5736 0.3302 0.0693
Y 0.5736 0.0693 0.3302
Y 0.1948 0.3847 0.3847
Y 0.9999 0.2506 0.7554
Y 0.9999 0.7554 0.2506
Y 0.8054 0.6219 0.6219
Y 0.4260 0.9368 0.6758
Y 0.4260 0.6758 0.9368
Al 0.0005 0.0032 0.0032
Co 0.4999 0.6942 0.3118
Co 0.4999 0.3118 0.6942

* formation enthalpy at 0 K: -82 meV per atom
* uncorrected energy: -70.57 eV/cell
* theoretical density: 4856 kg/m³
* density of states at the Fermi level: 1.190 states/eV per atom
* space-group type: No. 12


4.
Entry from Alexandria via LeMat-Bulk: a relaxed structure of SmYCuAu (PBE).

Cell: 5.0784 5.0784 5.0784 Å, 60.00 60.00 60.00°
Fractional coordinates of all 4 atoms:
Y 0.7500 0.7500 0.7500
Au 0.5000 0.5000 0.5000
Cu 0.0000 0.0000 0.0000
Sm 0.2500 0.2500 0.2500

* formation enthalpy at 0 K: -509 meV per atom
* uncorrected energy: -20.59 eV/cell
* theoretical density: 8961 kg/m³
* density of states at the Fermi level: 0.758 states/eV per atom
* E above lowest polymorph: 28 meV/atom
* space-group type: No. 216


5.
Entry from Alexandria via LeMat-Bulk: a relaxed structure of RbInNiPb2 (PBE).

Cell: 6.2958 4.7134 6.2958 Å, 90.00 90.00 90.00°
Fractional coordinates of all 5 atoms:
Pb 0.0000 0.0000 0.5000
Pb 0.5000 0.0000 0.0000
Ni 0.0000 0.5000 0.0000
Rb 0.0000 0.0000 0.0000
In 0.5000 0.5000 0.5000

* formation enthalpy at 0 K: 1316 meV per atom
* uncorrected energy: -10.32 eV/cell
* theoretical density: 5985 kg/m³
* density of states at the Fermi level: 0.912 states/eV per atom
* space-group type: No. 123


6.
Entry from Alexandria via LeMat-Bulk: a relaxed structure of Ga2Te5Au2 (PBE).

Cell: 4.1452 7.4857 10.6159 Å, 113.92 101.26 90.00°
Fractional coordinates of all 9 atoms:
Ga 0.5887 0.2920 0.1775
Ga 0.4113 0.7080 0.8225
Te 0.6826 0.1314 0.3652
Te 0.3174 0.8686 0.6348
Te 0.8665 0.4467 0.7330
Te 0.1335 0.5533 0.2670
Te 0.0000 0.0000 0.0000
Au 0.8820 0.1089 0.7640
Au 0.1180 0.8911 0.2360

* ΔE_f (raw): -0.0068 eV per atom
* uncorrected energy: -28.38 eV/cell
* theoretical density: 6612 kg/m³
* density of states at the Fermi level: 0.714 states/eV per atom
* space-group type: No. 12